(1)
# Li4Tb3NpS8

A geometry-optimized Li4Tb3NpS8 structure (PBE, Alexandria).

Results
- E_form (uncorrected) (eV per atom) = -1.710
- DFT total energy (eV/cell) = -94.86

The structure in extended XYZ format:
```
16
Lattice="3.938 2.274 6.180 -3.938 2.274 6.180 0.000 -4.547 6.180" Properties=species:S:1:pos:R:3 pbc="T T T"
Li 0.000 0.000 0.000
Li -1.969 -1.137 6.180
Li -1.969 1.137 12.360
Li 0.000 2.274 6.180
Tb -3.938 0.000 9.270
Tb -1.969 1.137 3.090
Tb 1.969 1.137 3.090
Np 0.000 0.000 9.270
S 0.000 -2.280 7.713
S -1.975 1.140 7.713
S -1.975 -1.140 10.827
S 0.000 0.000 4.647
S 0.000 0.000 13.893
S 1.975 1.140 7.713
S 1.975 -1.140 10.827
S 0.000 2.280 10.827
```

=====

(2)
# Li4TbNp3S8

A geometry-optimized Li4TbNp3S8 structure (PBE, Alexandria).

Results
- E_form (uncorrected) (eV per atom) = -1.474
- DFT total energy (eV/cell) = -107.71

The structure in extended XYZ format:
```
16
Lattice="3.932 2.270 6.154 -3.932 2.270 6.154 0.000 -4.540 6.154" Properties=species:S:1:pos:R:3 pbc="T T T"
Li 0.000 0.000 0.000
Li -1.966 -1.135 6.154
Li -1.966 1.135 12.307
Li 0.000 2.270 6.154
Tb 0.000 0.000 9.231
Np -3.932 0.000 9.231
Np -1.966 1.135 3.077
Np 1.966 1.135 3.077
S 0.000 -2.272 7.672
S -1.968 1.136 7.672
S 0.000 0.000 4.614
S -1.968 -1.136 10.789
S 1.968 1.136 7.672
S 0.000 0.000 13.847
S 1.968 -1.136 10.789
S 0.000 2.272 10.789
```

=====

(3)
# LiTbNpS3

A geometry-optimized LiTbNpS3 structure (PBE, Alexandria).

Results
- E_form (uncorrected) (eV per atom) = -1.527
- DFT total energy (eV/cell) = -82.06

The structure in extended XYZ format:
```
12
Lattice="8.106 0.000 0.000 0.000 3.790 0.000 -1.715 0.000 8.211" Properties=species:S:1:pos:R:3 pbc="T T T"
Li 0.567 0.947 0.668
Li 5.824 2.842 7.543
Tb 0.205 0.947 5.869
Tb 6.186 2.842 2.342
Np 2.193 2.842 2.709
Np 4.198 0.947 5.503
S 0.129 0.947 3.008
S 0.042 2.842 8.103
S 2.211 2.842 5.484
S 4.180 0.947 2.728
S 6.349 0.947 0.109
S 6.262 2.842 5.204
```

=====

(4)
# LiTb3Np3S8

A geometry-optimized LiTb3Np3S8 structure (PBE, Alexandria).

Results
- E_form (uncorrected) (eV per atom) = -1.648
- DFT total energy (eV/cell) = -112.36

The structure in extended XYZ format:
```
15
Lattice="6.755 -3.901 0.000 6.755 3.901 0.000 -4.492 0.000 6.373" Properties=species:S:1:pos:R:3 pbc="T T T"
Li 0.000 0.000 0.000
Tb -2.246 0.000 3.187
Tb 1.131 1.950 3.187
Tb 1.131 -1.950 3.187
Np 3.377 1.950 0.000
Np 3.377 -1.950 0.000
Np 6.755 0.000 0.000
S 2.225 0.000 1.548
S 5.658 1.989 1.564
S 3.360 1.989 4.809
S 0.004 0.000 4.776
S 9.014 0.000 1.597
S 5.658 -1.989 1.564
S 3.360 -1.989 4.809
S 6.792 0.000 4.826
```

=====

(5)
# Li2TbNpS4

A geometry-optimized Li2TbNpS4 structure (PBE, Alexandria).

Results
- E_form (uncorrected) (eV per atom) = -1.585
- DFT total energy (eV/cell) = -50.59

The structure in extended XYZ format:
```
8
Lattice="6.583 0.000 0.000 0.000 3.938 0.000 -2.377 0.000 6.393" Properties=species:S:1:pos:R:3 pbc="T T T"
Li 0.000 0.000 0.000
Li -1.189 1.969 3.196
Tb 2.103 0.000 3.196
Np 3.291 1.969 0.000
S 1.030 1.969 1.597
S -0.145 0.000 4.791
S 4.351 0.000 1.601
S 3.176 1.969 4.796
```

=====

(6)
# LiTb2NpS5

A geometry-optimized LiTb2NpS5 structure (PBE, Alexandria).

Results
- E_form (uncorrected) (eV per atom) = -1.662
- DFT total energy (eV/cell) = -119.43

The structure in extended XYZ format:
```
18
Lattice="1.952 -8.114 0.000 1.952 8.114 0.000 0.000 0.000 11.777" Properties=species:S:1:pos:R:3 pbc="T T T"
Li 1.952 7.841 5.889
Li 1.952 -7.841 0.000
Tb 1.952 2.025 3.753
Tb 1.952 1.764 8.344
Tb 1.952 -1.764 2.455
Tb 1.952 -2.025 9.642
Np 1.952 3.228 0.306
Np 1.952 -3.228 6.194
S 1.952 8.103 9.468
S 1.952 5.946 0.279
S 1.952 5.015 4.286
S 1.952 4.673 8.092
S 1.952 0.758 1.130
S 1.952 -0.758 7.018
S 1.952 -4.673 2.204
S 1.952 -5.015 10.175
S 1.952 -5.946 6.168
S 1.952 -8.103 3.580
```

=====

(7)
# Li3TbNp3S8

A geometry-optimized Li3TbNp3S8 structure (PBE, Alexandria).

Results
- E_form (uncorrected) (eV per atom) = -1.462
- DFT total energy (eV/cell) = -104.15

The structure in extended XYZ format:
```
15
Lattice="3.956 2.284 6.113 -3.956 2.284 6.113 0.000 -4.569 6.113" Properties=species:S:1:pos:R:3 pbc="T T T"
Li -1.978 -1.142 6.113
Li -1.978 1.142 12.225
Li 0.000 2.284 6.113
Tb 0.000 0.000 9.169
Np -3.956 0.000 9.169
Np -1.978 1.142 3.056
Np 1.978 1.142 3.056
S -1.981 -1.144 10.666
S 0.000 0.000 4.575
S 0.000 -2.288 7.672
S -1.982 1.144 7.672
S 1.982 -1.144 10.666
S 0.000 2.288 10.666
S 0.000 0.000 13.763
S 1.981 1.144 7.671
```

=====

(8)
# LiTb3Np4S8

A geometry-optimized LiTb3Np4S8 structure (PBE, Alexandria).

Results
- E_form (uncorrected) (eV per atom) = -1.607
- DFT total energy (eV/cell) = -126.29

The structure in extended XYZ format:
```
16
Lattice="6.758 -3.915 0.000 6.758 3.915 0.000 -4.491 0.000 6.395" Properties=species:S:1:pos:R:3 pbc="T T T"
Li 0.000 0.000 0.000
Tb 1.133 1.958 3.198
Tb 1.133 -1.958 3.198
Tb 6.758 0.000 0.000
Np -2.246 0.000 3.198
Np 3.379 1.958 0.000
Np 3.379 -1.958 0.000
Np 4.512 0.000 3.198
S 5.656 1.991 1.572
S 3.368 1.991 4.823
S 2.230 0.000 1.569
S 0.006 0.000 4.797
S 9.019 0.000 1.598
S 6.794 0.000 4.826
S 5.656 -1.991 1.572
S 3.368 -1.991 4.823
```

=====

(9)
# Li2ThNpS4

A geometry-optimized Li2ThNpS4 structure (PBE, Alexandria).

Results
- E_form (uncorrected) (eV per atom) = -1.504
- DFT total energy (eV/cell) = -52.73

The structure in extended XYZ format:
```
8
Lattice="6.655 0.000 0.000 0.000 3.968 0.000 -2.363 0.000 6.438" Properties=species:S:1:pos:R:3 pbc="T T T"
Li 0.000 0.000 0.000
Li -1.181 1.984 3.219
Th 2.146 0.000 3.219
Np 3.327 1.984 0.000
S 0.996 1.984 1.572
S -0.150 0.000 4.833
S 4.442 0.000 1.606
S 3.296 1.984 4.866
```

=====

(10)
# LiTh3Np3S8

A geometry-optimized LiTh3Np3S8 structure (PBE, Alexandria).

Results
- E_form (uncorrected) (eV per atom) = -1.583
- DFT total energy (eV/cell) = -119.76

The structure in extended XYZ format:
```
15
Lattice="6.836 -3.957 0.000 6.836 3.957 0.000 -4.531 0.000 6.486" Properties=species:S:1:pos:R:3 pbc="T T T"
Li 0.000 0.000 0.000
Th -2.265 0.000 3.243
Th 3.418 1.978 0.000
Th 3.418 -1.978 0.000
Np 1.153 1.978 3.243
Np 1.153 -1.978 3.243
Np 6.836 0.000 0.000
S 2.202 0.000 1.625
S 3.381 2.012 4.909
S 5.760 2.012 1.577
S 0.097 0.000 4.830
S 9.045 0.000 1.657
S 3.381 -2.012 4.909
S 5.760 -2.012 1.577
S 6.940 0.000 4.861
```

=====

(11)
# Li4NpTi3S8

A geometry-optimized Li4NpTi3S8 structure (PBE, Alexandria).

Results
- E_form (uncorrected) (eV per atom) = -1.381
- DFT total energy (eV/cell) = -99.39

The structure in extended XYZ format:
```
16
Lattice="3.607 2.083 6.141 -3.607 2.083 6.141 0.000 -4.165 6.141" Properties=species:S:1:pos:R:3 pbc="T T T"
Li 0.000 0.000 0.000
Li -1.804 -1.041 6.141
Li -1.804 1.041 12.281
Li 0.000 2.083 6.141
Np 0.000 0.000 9.211
Ti -3.607 0.000 9.211
Ti -1.804 1.041 3.070
Ti 1.804 1.041 3.070
S -1.899 -1.096 10.704
S 0.000 0.000 4.496
S 0.000 -2.192 7.718
S -1.899 1.096 7.718
S 1.899 -1.096 10.704
S 0.000 2.192 10.704
S 0.000 0.000 13.926
S 1.899 1.096 7.718
```

=====

(12)
# Li2NpTiS4

A geometry-optimized Li2NpTiS4 structure (PBE, Alexandria).

Results
- E_form (uncorrected) (eV per atom) = -1.368
- DFT total energy (eV/cell) = -52.11

The structure in extended XYZ format:
```
8
Lattice="6.381 0.000 0.000 0.000 3.729 0.000 -2.124 0.000 6.176" Properties=species:S:1:pos:R:3 pbc="T T T"
Li 0.000 0.000 0.000
Li 3.191 1.865 0.000
Np -1.062 1.865 3.088
Ti 2.129 0.000 3.088
S 0.117 0.000 4.638
S 1.174 1.865 1.610
S 3.083 1.865 4.566
S 4.140 0.000 1.537
```